1.
First-principles (GGA-PBE) data for a relaxed Tb2PaTi crystal, as listed in Alexandria.

abc: 3.2810 3.2810 11.6273
angles: 81.89 81.89 60.00
Each line ends with the local moment (μB).
Positions (direct):
Ti: 0.0000 0.0000 0.0000  1.18
Tb: 0.0854 0.0854 0.7438  0.08
Tb: 0.9146 0.9146 0.2562  0.08
Pa: 0.5000 0.5000 0.5000  -0.02

E_tot	-24.9	eV/cell
calculated formation energy	438	meV/atom
magnetization	1.7	μB/cell
space-group type	R-3m, No. 166


2.
First-principles (GGA-PBE) data for a relaxed ErMgInCl6 crystal, as listed in Alexandria.

abc: 6.7471 6.7471 14.0899
angles: 90.00 90.00 120.00
Positions (direct):
Er: 0.3333 0.6667 0.7500
Er: 0.6667 0.3333 0.2500
Cl: 0.6216 0.6322 0.1459
Cl: 0.6322 0.0106 0.8541
Cl: 0.0106 0.3784 0.1459
Cl: 0.3784 0.0106 0.6459
Cl: 0.3784 0.3678 0.8541
Cl: 0.9894 0.3678 0.6459
Cl: 0.9894 0.6216 0.8541
Cl: 0.3678 0.3784 0.3541
Cl: 0.6216 0.9894 0.3541
Cl: 0.0106 0.6322 0.3541
Cl: 0.6322 0.6216 0.6459
Cl: 0.3678 0.9894 0.1459
Mg: 0.6667 0.3333 0.7500
Mg: 0.3333 0.6667 0.2500
In: 0.0000 0.0000 0.5000
In: 0.0000 0.0000 0.0000

E_tot	-72.9	eV/cell
formation energy without anion corrections	-1830	meV/atom
magnetization	0.0	μB/cell
space-group type	P-31c, No. 163


3.
First-principles (GGA-PBE) data for a relaxed Pr5Tl3In crystal, as listed in Alexandria.

abc: 6.8053 9.7578 9.7571
angles: 120.00 90.00 90.00
Positions (direct):
Tl: 0.2500 0.6304 0.6304
Tl: 0.2500 0.3696 0.0000
Tl: 0.7500 0.3696 0.3696
Tl: 0.2500 0.0000 0.3696
Tl: 0.7500 0.0000 0.6304
Tl: 0.7500 0.6304 0.0000
Pr: 0.5000 0.3334 0.6668
Pr: 0.0000 0.6666 0.3332
Pr: 0.7500 0.0000 0.2897
Pr: 0.2500 0.0000 0.7103
Pr: 0.0000 0.3334 0.6668
Pr: 0.7500 0.7104 0.7103
Pr: 0.2500 0.7104 0.0000
Pr: 0.2500 0.2896 0.2897
Pr: 0.5000 0.6666 0.3332
Pr: 0.7500 0.2896 0.0000
In: 0.5000 0.0000 0.0000
In: 0.0000 0.0000 0.0000

E_tot	-74.1	eV/cell
calculated formation energy	-370	meV/atom
magnetization	0.0	μB/cell
space-group type	P6_3/mcm, No. 193


4.
First-principles (GGA-PBE) data for a relaxed Mg4InCu crystal, as listed in Alexandria.

abc: 5.2627 7.4760 7.4760
angles: 113.08 100.84 100.84
Positions (direct):
In: 0.2500 0.3776 0.6224
In: 0.7500 0.6224 0.3776
Cu: 0.2500 0.9985 0.0015
Cu: 0.7500 0.0015 0.9985
Mg: 0.4359 0.7131 0.0630
Mg: 0.6472 0.1982 0.3684
Mg: 0.5641 0.2869 0.9370
Mg: 0.0641 0.9370 0.2869
Mg: 0.1472 0.3684 0.1982
Mg: 0.3528 0.8018 0.6316
Mg: 0.9359 0.0630 0.7131
Mg: 0.8528 0.6316 0.8018

E_tot	-27.4	eV/cell
calculated formation energy	-80	meV/atom
magnetization	0.0	μB/cell
space-group type	C2/c, No. 15


5.
First-principles (GGA-PBE) data for a relaxed TlSiSb2 crystal, as listed in Alexandria.

abc: 3.2014 5.9315 6.4800
angles: 57.19 90.00 90.00
Positions (direct):
Tl: 0.0000 0.0000 0.5000
Si: 0.5000 0.5000 0.5000
Sb: 0.0000 0.0000 0.0000
Sb: 0.5000 0.5000 0.0000

E_tot	-14.2	eV/cell
formation energy without anion corrections	452	meV/atom
magnetization	0.0	μB/cell
space-group type	P2/m, No. 10


6.
First-principles (GGA-PBE) data for a relaxed Mg2VCu2 crystal, as listed in Alexandria.

abc: 6.7116 6.7116 3.6872
angles: 90.00 90.00 90.00
Each line ends with the local moment (μB).
Positions (direct):
Cu: 0.3714 0.8714 0.0000  0.05
Cu: 0.1286 0.3714 0.0000  0.05
Cu: 0.8714 0.6286 0.0000  0.05
Cu: 0.6286 0.1286 0.0000  0.05
Mg: 0.8278 0.3278 0.5000  -0.01
Mg: 0.1722 0.6722 0.5000  -0.01
Mg: 0.3278 0.1722 0.5000  -0.01
Mg: 0.6722 0.8278 0.5000  -0.01
V: 0.5000 0.5000 0.0000  2.43
V: 0.0000 0.0000 0.0000  2.43

E_tot	-39.0	eV/cell
calculated formation energy	204	meV/atom
magnetization	6.1	μB/cell
space-group type	P4/mbm, No. 127


7.
First-principles (GGA-PBE) data for a relaxed RbCdGe2W crystal, as listed in Alexandria.

abc: 5.1806 5.8189 5.1806
angles: 90.00 90.00 90.00
Each line ends with the local moment (μB).
Positions (direct):
Cd: 0.0000 0.0000 0.0000  0.01
W: 0.5000 0.5000 0.5000  3.25
Ge: 0.5000 0.0000 0.0000  -0.09
Ge: 0.0000 0.0000 0.5000  -0.10
Rb: 0.0000 0.5000 0.0000  0.02

E_tot	-15.4	eV/cell
calculated formation energy	1739	meV/atom
magnetization	4.2	μB/cell
space-group type	P4/mmm, No. 123


8.
First-principles (GGA-PBE) data for a relaxed ScTaS4 crystal, as listed in Alexandria.

abc: 3.5548 6.3647 6.2473
angles: 90.56 90.00 90.00
Positions (direct):
S: 0.5000 0.2238 0.8183
S: 0.0000 0.7734 0.6525
S: 0.5000 0.7762 0.1817
S: 0.0000 0.2266 0.3475
Ta: 0.5000 0.0000 0.5000
Sc: 0.0000 0.0000 0.0000

E_tot	-42.5	eV/cell
formation energy without anion corrections	-1309	meV/atom
magnetization	0.0	μB/cell
space-group type	P2/m, No. 10


9.
First-principles (GGA-PBE) data for a relaxed Ac2ZnSi4Ir3 crystal, as listed in Alexandria.

abc: 4.3314 4.3314 10.1137
angles: 90.00 90.00 90.00
Positions (direct):
Ir: 0.0000 0.0000 0.5000
Ir: 0.0000 0.5000 0.1201
Ir: 0.5000 0.0000 0.8799
Si: 0.0000 0.0000 0.0000
Si: 0.5000 0.5000 0.0000
Si: 0.5000 0.0000 0.6341
Si: 0.0000 0.5000 0.3659
Ac: 0.0000 0.5000 0.7542
Ac: 0.5000 0.0000 0.2458
Zn: 0.5000 0.5000 0.5000

E_tot	-65.5	eV/cell
formation energy without anion corrections	-777	meV/atom
magnetization	0.0	μB/cell
space-group type	P-4m2, No. 115


10.
First-principles (GGA-PBE) data for a relaxed ErAs2Pd crystal, as listed in Alexandria.

abc: 3.4818 3.4818 9.0681
angles: 78.93 78.93 60.00
Positions (direct):
Pd: 0.5000 0.5000 0.5000
As: 0.8931 0.8931 0.3206
As: 0.1069 0.1069 0.6794
Er: 0.0000 0.0000 0.0000

E_tot	-19.5	eV/cell
calculated formation energy	-109	meV/atom
magnetization	0.0	μB/cell
space-group type	R-3m, No. 166


11.
First-principles (GGA-PBE) data for a relaxed CdSbSe2 crystal, as listed in Alexandria.

abc: 7.7154 7.7154 7.7154
angles: 30.99 30.99 30.99
Positions (direct):
Se: 0.0099 0.0099 0.0099
Se: 0.2311 0.2311 0.2311
Sb: 0.7463 0.7463 0.7463
Cd: 0.5127 0.5127 0.5127

E_tot	-12.5	eV/cell
formation energy without anion corrections	-131	meV/atom
magnetization	0.0	μB/cell
space-group type	R3m, No. 160


12.
First-principles (GGA-PBE) data for a relaxed MnRePCl2 crystal, as listed in Alexandria.

abc: 4.4944 4.4944 5.3042
angles: 90.00 90.00 90.00
Each line ends with the local moment (μB).
Positions (direct):
Cl: 0.0000 0.5000 0.0000  0.10
Cl: 0.5000 0.0000 0.0000  0.10
P: 0.0000 0.0000 0.5000  -0.13
Mn: 0.0000 0.0000 0.0000  3.66
Re: 0.5000 0.5000 0.5000  3.91

E_tot	-26.3	eV/cell
formation energy without anion corrections	892	meV/atom
magnetization	8.7	μB/cell
space-group type	P4/mmm, No. 123


13.
First-principles (GGA-PBE) data for a relaxed TiNiPd3 crystal, as listed in Alexandria.

abc: 6.1036 6.1036 6.1036
angles: 96.67 104.70 129.06
Positions (direct):
Ti: 0.5891 0.7201 0.3690
Ti: 0.3510 0.2201 0.6310
Pd: 0.0212 0.2579 0.2633
Pd: 0.5518 0.7361 0.8072
Pd: 0.9946 0.7579 0.7367
Pd: 0.9289 0.2361 0.6843
Pd: 0.5518 0.2447 0.3157
Pd: 0.9289 0.7447 0.1928
Ni: 0.2775 0.6995 0.0780
Ni: 0.6216 0.1995 0.9220

E_tot	-60.0	eV/cell
calculated formation energy	-149	meV/atom
magnetization	0.0	μB/cell
space-group type	Ima2, No. 46


14.
First-principles (GGA-PBE) data for a relaxed Pu3Sb2Ir crystal, as listed in Alexandria.

abc: 4.4222 10.9307 12.6907
angles: 90.00 90.00 90.00
Each line ends with the local moment (μB).
Positions (direct):
Ir: 0.7500 0.6489 0.3888  -0.18
Ir: 0.2500 0.1489 0.1112  -0.18
Ir: 0.7500 0.8511 0.8888  -0.18
Ir: 0.2500 0.3511 0.6112  -0.18
Sb: 0.2500 0.7823 0.0119  -0.03
Sb: 0.7500 0.2177 0.9881  -0.03
Sb: 0.7500 0.5182 0.2008  -0.01
Sb: 0.2500 0.4818 0.7992  -0.01
Sb: 0.7500 0.2823 0.4881  -0.03
Sb: 0.7500 0.9818 0.7008  -0.01
Sb: 0.2500 0.7177 0.5119  -0.03
Sb: 0.2500 0.0182 0.2992  -0.01
Pu: 0.7500 0.2264 0.2454  5.29
Pu: 0.7500 0.5455 0.6169  5.30
Pu: 0.2500 0.4545 0.3831  5.30
Pu: 0.2500 0.0455 0.8831  5.30
Pu: 0.7500 0.9545 0.1169  5.30
Pu: 0.7500 0.9058 0.4511  -5.35
Pu: 0.2500 0.0942 0.5489  -5.35
Pu: 0.7500 0.5942 0.9511  -5.35
Pu: 0.7500 0.2736 0.7454  5.29
Pu: 0.2500 0.4058 0.0489  -5.35
Pu: 0.2500 0.7264 0.2546  5.29
Pu: 0.2500 0.7736 0.7546  5.29

E_tot	-253.9	eV/cell
formation energy without anion corrections	-561	meV/atom
magnetization	21.7	μB/cell
space-group type	Pnma, No. 62


15.
First-principles (GGA-PBE) data for a relaxed LaTi2Tc2 crystal, as listed in Alexandria.

abc: 4.1858 4.1858 6.4375
angles: 71.03 71.03 90.00
Positions (direct):
Tc: 0.6158 0.6158 0.7684
Tc: 0.3842 0.3842 0.2316
Ti: 0.7500 0.2500 0.5000
Ti: 0.2500 0.7500 0.5000
La: 0.0000 0.0000 0.0000

E_tot	-42.0	eV/cell
calculated formation energy	-111	meV/atom
magnetization	0.0	μB/cell
space-group type	I4/mmm, No. 139


16.
First-principles (GGA-PBE) data for a relaxed LiNiTe2 crystal, as listed in Alexandria.

abc: 7.1069 7.1069 7.1069
angles: 151.23 150.10 41.98
Positions (direct):
Te: 0.2184 0.7184 0.5000
Te: 0.9405 0.9405 0.0000
Ni: 0.7958 0.2958 0.5000
Li: 0.5453 0.5453 0.0000

E_tot	-14.9	eV/cell
formation energy without anion corrections	-231	meV/atom
magnetization	0.0	μB/cell
space-group type	Imm2, No. 44


17.
First-principles (GGA-PBE) data for a relaxed Hg5Pb3Br12 crystal, as listed in Alexandria.

abc: 15.5698 15.5698 15.5698
angles: 109.47 109.47 109.47
Positions (direct):
Br: 0.4091 0.3633 0.5960
Br: 0.1869 0.0960 0.7327
Br: 0.8633 0.5960 0.9091
Br: 0.9040 0.0909 0.6367
Br: 0.3131 0.5459 0.4091
Br: 0.5909 0.9541 0.6869
Br: 0.6367 0.0459 0.2327
Br: 0.4040 0.1367 0.5909
Br: 0.7327 0.1367 0.0459
Br: 0.8131 0.9091 0.0459
Br: 0.7327 0.5960 0.1869
Br: 0.0909 0.9040 0.1367
Br: 0.6869 0.4541 0.5909
Br: 0.5459 0.3131 0.9091
Br: 0.9091 0.8131 0.5459
Br: 0.9091 0.0960 0.8633
Br: 0.7673 0.3131 0.9040
Br: 0.0960 0.9091 0.3633
Br: 0.2327 0.6869 0.0960
Br: 0.8633 0.2673 0.4541
Br: 0.9541 0.5909 0.1869
Br: 0.9541 0.3633 0.2673
Br: 0.1367 0.4040 0.0909
Br: 0.4040 0.2673 0.3131
Br: 0.0459 0.4091 0.8131
Br: 0.5909 0.6367 0.4040
Br: 0.0459 0.6367 0.7327
Br: 0.2673 0.8633 0.9541
Br: 0.5960 0.7327 0.6869
Br: 0.4091 0.0459 0.3131
Br: 0.1367 0.7327 0.5459
Br: 0.6869 0.2327 0.5960
Br: 0.3633 0.9541 0.7673
Br: 0.9040 0.8131 0.7673
Br: 0.5459 0.2327 0.1367
Br: 0.0909 0.1869 0.4541
Br: 0.6367 0.5909 0.9040
Br: 0.1869 0.0909 0.9541
Br: 0.7673 0.4541 0.3633
Br: 0.5960 0.8633 0.4091
Br: 0.2673 0.4040 0.8131
Br: 0.2327 0.5459 0.6367
Br: 0.8131 0.9040 0.2673
Br: 0.3633 0.4091 0.0960
Br: 0.0960 0.1869 0.2327
Br: 0.4541 0.7673 0.8633
Br: 0.3131 0.7673 0.4040
Br: 0.4541 0.6869 0.0909
Pb: 0.1250 0.8750 0.7500
Pb: 0.3750 0.7500 0.6250
Pb: 0.7500 0.8750 0.6250
Pb: 0.3750 0.6250 0.2500
Pb: 0.6250 0.2500 0.3750
Pb: 0.2500 0.6250 0.8750
Pb: 0.6250 0.3750 0.7500
Pb: 0.8750 0.1250 0.2500
Pb: 0.2500 0.1250 0.3750
Pb: 0.8750 0.7500 0.1250
Pb: 0.7500 0.3750 0.1250
Pb: 0.1250 0.2500 0.8750
Hg: 0.3750 0.1250 0.7500
Hg: 0.0000 0.0000 0.0000
Hg: 0.6250 0.7500 0.8750
Hg: 0.1250 0.3750 0.2500
Hg: 0.5000 0.0000 0.0000
Hg: 0.7500 0.6250 0.3750
Hg: 0.3750 0.2500 0.1250
Hg: 0.6250 0.8750 0.2500
Hg: 0.5000 0.5000 0.5000
Hg: 0.5000 0.5000 0.0000
Hg: 0.8750 0.2500 0.6250
Hg: 0.0000 0.0000 0.5000
Hg: 0.5000 0.0000 0.5000
Hg: 0.7500 0.1250 0.8750
Hg: 0.1250 0.7500 0.3750
Hg: 0.2500 0.8750 0.1250
Hg: 0.0000 0.5000 0.0000
Hg: 0.0000 0.5000 0.5000
Hg: 0.8750 0.6250 0.7500
Hg: 0.2500 0.3750 0.6250

E_tot	-165.7	eV/cell
formation energy without anion corrections	-436	meV/atom
magnetization	0.0	μB/cell
space-group type	Ia-3d, No. 230


18.
First-principles (GGA-PBE) data for a relaxed Y2InHgN crystal, as listed in Alexandria.

abc: 5.8900 4.0478 5.8900
angles: 90.00 90.00 90.00
Each line ends with the local moment (μB).
Positions (direct):
Y: 0.0000 0.0000 0.5000  0.20
Y: 0.5000 0.0000 0.0000  0.33
In: 0.0000 0.0000 0.0000  0.06
Hg: 0.5000 0.5000 0.5000  0.03
N: 0.0000 0.5000 0.0000  0.00

E_tot	-20.8	eV/cell
formation energy without anion corrections	707	meV/atom
magnetization	1.3	μB/cell
space-group type	P4/mmm, No. 123


19.
First-principles (GGA-PBE) data for a relaxed BeTe2P crystal, as listed in Alexandria.

abc: 4.8068 4.8068 6.5071
angles: 96.18 96.18 54.78
Positions (direct):
Be: 0.5115 0.5115 0.6801
Te: 0.9576 0.9576 0.8620
Te: 0.2944 0.2944 0.3897
P: 0.7365 0.7365 0.5681

E_tot	-15.3	eV/cell
formation energy without anion corrections	31	meV/atom
magnetization	0.0	μB/cell
space-group type	Cm, No. 8


20.
First-principles (GGA-PBE) data for a relaxed Pm2DyScSb4 crystal, as listed in Alexandria.

abc: 4.3945 7.6057 7.5896
angles: 109.53 90.00 90.00
Positions (direct):
Sb: 0.5000 0.2380 0.2332
Sb: 0.5000 0.7620 0.7668
Sb: 0.0000 0.7524 0.2380
Sb: 0.0000 0.2476 0.7620
Pm: 0.0000 0.5000 0.5000
Pm: 0.5000 0.0000 0.5000
Dy: 0.5000 0.5000 0.0000
Sc: 0.0000 0.0000 0.0000

E_tot	-45.7	eV/cell
formation energy without anion corrections	-1095	meV/atom
magnetization	0.0	μB/cell
space-group type	P2/m, No. 10


21.
First-principles (GGA-PBE) data for a relaxed CuMoPb2W crystal, as listed in Alexandria.

abc: 5.3781 4.8383 5.3781
angles: 90.00 90.00 90.00
Each line ends with the local moment (μB).
Positions (direct):
W: 0.0000 0.5000 0.0000  1.65
Pb: 0.5000 0.0000 0.0000  0.02
Pb: 0.0000 0.0000 0.5000  -0.01
Cu: 0.5000 0.5000 0.5000  -0.01
Mo: 0.0000 0.0000 0.0000  -0.44

E_tot	-27.9	eV/cell
calculated formation energy	1487	meV/atom
magnetization	1.6	μB/cell
space-group type	P4/mmm, No. 123